Entry 1:
# PBE GaBi2AsF, optimized geometry
data_GaBi2AsF
_space_group_name_H-M_alt 'P 1'
_space_group_IT_number 1
_space_group_name_Hall 'P 1'
_cell_length_a 5.556
_cell_length_b 3.959
_cell_length_c 5.556
_cell_angle_alpha 90.00
_cell_angle_beta 90.00
_cell_angle_gamma 90.00
loop_
_atom_site_label
_atom_site_fract_x
_atom_site_fract_y
_atom_site_fract_z
F1 0.000 0.500 0.000
Bi1 0.500 0.000 0.000
Bi2 0.000 0.000 0.500
As1 0.500 0.500 0.500
Ga1 0.000 0.000 0.000
# Electronic total energy (eV per formula unit): -18.875
# Space group: P4/mmm

=====

Entry 2:
# PBE Dy6C3SeS2, optimized geometry
data_Dy6C3SeS2
_space_group_name_H-M_alt 'P 1'
_space_group_IT_number 1
_space_group_name_Hall 'P 1'
_cell_length_a 3.736
_cell_length_b 7.745
_cell_length_c 8.599
_cell_angle_alpha 105.82
_cell_angle_beta 102.55
_cell_angle_gamma 90.00
loop_
_atom_site_label
_atom_site_fract_x
_atom_site_fract_y
_atom_site_fract_z
Dy1 0.009 0.723 0.018
Dy2 0.991 0.277 0.982
Dy3 0.341 0.396 0.682
Dy4 0.659 0.604 0.318
Dy5 0.323 0.937 0.645
Dy6 0.677 0.063 0.355
S1 0.167 0.333 0.333
S2 0.833 0.667 0.667
Se1 0.500 0.000 0.000
C1 0.833 0.168 0.665
C2 0.500 0.500 0.000
C3 0.167 0.832 0.335
# Electronic total energy (eV per formula unit): -81.883
# Space group: C2/m

=====

Entry 3:
# PBE Tb8Co2Ag, optimized geometry
data_Tb8Co2Ag
_space_group_name_H-M_alt 'P 1'
_space_group_IT_number 1
_space_group_name_Hall 'P 1'
_cell_length_a 5.536
_cell_length_b 7.707
_cell_length_c 7.707
_cell_angle_alpha 113.70
_cell_angle_beta 97.92
_cell_angle_gamma 97.92
loop_
_atom_site_label
_atom_site_fract_x
_atom_site_fract_y
_atom_site_fract_z
Tb1 0.500 0.242 0.758
Tb2 0.917 0.667 0.927
Tb3 0.083 0.333 0.073
Tb4 0.083 0.073 0.333
Tb5 0.500 0.758 0.242
Tb6 0.917 0.927 0.667
Tb7 0.303 0.617 0.617
Tb8 0.697 0.383 0.383
Co1 0.000 0.698 0.302
Co2 0.000 0.302 0.698
Ag1 0.500 0.000 0.000
# ΔH_f (0 K) (eV/atom): -0.05
# Space group: C2/m

=====

Entry 4:
# PBE NiPtCl, optimized geometry
data_NiPtCl
_space_group_name_H-M_alt 'P 1'
_space_group_IT_number 1
_space_group_name_Hall 'P 1'
_cell_length_a 9.219
_cell_length_b 3.357
_cell_length_c 8.307
_cell_angle_alpha 90.00
_cell_angle_beta 100.57
_cell_angle_gamma 90.00
loop_
_atom_site_label
_atom_site_fract_x
_atom_site_fract_y
_atom_site_fract_z
Cl1 0.205 0.000 0.969
Cl2 0.546 0.000 0.737
Cl3 0.205 0.500 0.469
Cl4 0.546 0.500 0.237
Pt1 0.862 0.000 0.034
Pt2 0.732 0.500 0.794
Pt3 0.862 0.500 0.534
Pt4 0.732 0.000 0.294
Ni1 0.051 0.000 0.481
Ni2 0.936 0.500 0.258
Ni3 0.051 0.500 0.981
Ni4 0.936 0.000 0.758
# Electronic total energy (eV per formula unit): -13.747
# Space group: Cm

=====

Entry 5:
# PBE Ac3Tb2NdS6, optimized geometry
data_Ac3Tb2NdS6
_space_group_name_H-M_alt 'P 1'
_space_group_IT_number 1
_space_group_name_Hall 'P 1'
_cell_length_a 7.099
_cell_length_b 7.099
_cell_length_c 7.298
_cell_angle_alpha 99.36
_cell_angle_beta 99.36
_cell_angle_gamma 120.11
loop_
_atom_site_label
_atom_site_fract_x
_atom_site_fract_y
_atom_site_fract_z
Ac1 0.500 0.500 0.500
Ac2 0.164 0.836 0.500
Ac3 0.836 0.164 0.500
S1 0.584 0.925 0.774
S2 0.733 0.733 0.223
S3 0.925 0.584 0.774
S4 0.267 0.267 0.777
S5 0.075 0.416 0.226
S6 0.416 0.075 0.226
Nd1 0.000 0.000 0.000
Tb1 0.667 0.333 0.000
Tb2 0.333 0.667 0.000
# Electronic total energy (eV per formula unit): -75.125
# Space group: C2/m

=====

Entry 6:
# PBE SiBiPd2Pt, optimized geometry
data_SiBiPd2Pt
_space_group_name_H-M_alt 'P 1'
_space_group_IT_number 1
_space_group_name_Hall 'P 1'
_cell_length_a 5.104
_cell_length_b 4.377
_cell_length_c 5.104
_cell_angle_alpha 90.00
_cell_angle_beta 90.00
_cell_angle_gamma 90.00
loop_
_atom_site_label
_atom_site_fract_x
_atom_site_fract_y
_atom_site_fract_z
Pd1 0.500 0.000 0.000
Pd2 0.000 0.000 0.500
Pt1 0.000 0.000 0.000
Si1 0.000 0.500 0.000
Bi1 0.500 0.500 0.500
# Electronic total energy (eV per formula unit): -23.990
# Space group: P4/mmm

=====

no.,total magnetic moment (μB/cell)
1,0.00
2,0.00
3,0.00
4,2.28
5,0.00
6,0.00